*1*
VASP calculation (PBE-GGA) on crystalline HfThCo at its relaxed geometry.

abc: 4.5790 4.5790 4.5790
angles: 60.00 60.00 60.00
Fractional positions:
1 Th 0.0000 0.0000 0.0000
2 Hf 0.2500 0.2500 0.2500
3 Co 0.7500 0.7500 0.7500

Size of the total moment   0.0 μB/f.u.

---

*2*
VASP calculation (PBE-GGA) on crystalline HfThCo at its relaxed geometry.

abc: 4.6159 4.6159 4.6159
angles: 60.00 60.00 60.00
Fractional positions:
1 Th 0.7500 0.7500 0.7500
2 Co 0.0000 0.0000 0.0000
3 Hf 0.2500 0.2500 0.2500

Size of the total moment   0.0 μB/f.u.

---

Preferred: *2*; penalty for the next structure: 0.902 eV/atom.

---

*1*
VASP calculation (PBE-GGA) on crystalline HfTlZnCo at its relaxed geometry.

abc: 4.5894 4.5894 4.5894
angles: 60.00 60.00 60.00
Each line ends with the local moment (μB).
Fractional positions:
1 Zn 0.5000 0.5000 0.5000  -0.01
2 Co 0.7500 0.7500 0.7500  0.39
3 Hf 0.2500 0.2500 0.2500  -0.04
4 Tl 0.0000 0.0000 0.0000  -0.01

Size of the total moment   0.3 μB/f.u.

---

*2*
VASP calculation (PBE-GGA) on crystalline HfTlZnCo at its relaxed geometry.

abc: 4.5557 4.5557 4.5557
angles: 60.00 60.00 60.00
Fractional positions:
1 Tl 0.0000 0.0000 0.0000
2 Hf 0.5000 0.5000 0.5000
3 Co 0.7500 0.7500 0.7500
4 Zn 0.2500 0.2500 0.2500

Size of the total moment   0.1 μB/f.u.

---

Preferred: *2*; penalty for the next structure: 0.139 eV/atom.

---

*1*
VASP calculation (PBE-GGA) on crystalline HfUCo at its relaxed geometry.

abc: 4.3957 4.3957 4.3957
angles: 60.00 60.00 60.00
Fractional positions:
1 U 0.7500 0.7500 0.7500
2 Co 0.0000 0.0000 0.0000
3 Hf 0.2500 0.2500 0.2500

Size of the total moment   0.0 μB/f.u.

---

*2*
VASP calculation (PBE-GGA) on crystalline HfUCo at its relaxed geometry.

abc: 4.3938 4.3938 4.3938
angles: 60.00 60.00 60.00
Fractional positions:
1 U 0.0000 0.0000 0.0000
2 Hf 0.7500 0.7500 0.7500
3 Co 0.2500 0.2500 0.2500

Size of the total moment   1.1 μB/f.u.

---

Preferred: *1*; penalty for the next structure: 0.571 eV/atom.